YSiMo after structural relaxation. Source: Alexandria via LeMat-Bulk, functional PBE-GGA.

The structure in POSCAR format:
```
YSiMo
1.0
-1.2938 3.3123 -2.3194
-3.6723 -4.3763 -4.2013
-5.2355 0.9776 8.2021
Y Mo Si
4 4 4
Cartesian
-2.0255 -0.5061 0.4070
-6.2010 1.2548 5.2509
-4.0006 -1.3412 -3.5695
-8.1761 0.4197 1.2744
-5.0222 -1.3928 0.8124
-6.7738 -0.8039 -1.2554
-5.1794 1.3064 0.8690
-3.4278 0.7175 2.9367
-5.8109 -0.2353 2.9052
-2.9134 2.2023 0.8844
-4.3907 0.1489 -1.2239
-7.2882 -2.2887 0.7969
```

- SG = No. 12
- raw formation energy (eV/f.u.) = -0.5

=====

Sr2MoRh after structural relaxation. Source: Alexandria via LeMat-Bulk, functional PBE-GGA.

The structure in POSCAR format:
```
Sr2MoRh
1.0
-3.6896 0.1758 3.2765
0.4899 -4.8453 0.8139
2.7849 0.8017 3.0919
Mo Rh Sr
1 1 2
Cartesian
-0.4523 0.4887 3.1842
1.6374 -2.0218 1.9529
0.0000 0.0000 0.0000
-1.5999 -2.3348 2.0452
```

- SG = No. 123
- distance to the lowest polymorph of the same formula (eV/atom) = 0.611
- energy of formation (eV/atom) = 0.763

=====

Y2ErAl2 after structural relaxation. Source: Alexandria via LeMat-Bulk, functional PBE-GGA.

The structure in POSCAR format:
```
Y2ErAl2
1.0
4.3128 0.0000 1.9332
1.5162 5.1080 2.3948
-0.0272 -0.2130 5.8378
Y Er Al
2 1 2
Cartesian
4.4993 3.4148 7.2943
1.3025 1.4802 2.8715
0.0000 0.0000 0.0000
3.2117 3.5189 4.3897
2.5902 1.3762 5.7761
```

- SG = No. 71
- distance to the lowest polymorph of the same formula (eV/atom) = 0.000
- energy of formation (eV/atom) = -0.335

=====

CeCdAu after structural relaxation. Source: Alexandria via LeMat-Bulk, functional PBE-GGA.

The structure in POSCAR format:
```
CeCdAu
1.0
-1.3236 -6.9335 -3.6267
6.5404 4.1702 -1.6768
1.9694 -1.9097 2.9322
Ce Cd Au
3 3 3
Cartesian
3.0982 -1.6411 -3.1498
-0.5375 -2.8158 -1.4728
2.6561 1.6935 -0.6810
5.8321 2.1358 0.2233
2.3351 -1.6702 0.0933
0.0037 -6.0936 -1.2218
0.0000 0.0000 0.0000
4.9038 -0.4859 -0.8607
2.2824 -4.1872 -1.5107
```

- SG = No. 189
- distance to the lowest polymorph of the same formula (eV/atom) = 0.000
- energy of formation (eV/atom) = -0.542

=====

Zn2InPt after structural relaxation. Source: Alexandria via LeMat-Bulk, functional PBE-GGA.

The structure in POSCAR format:
```
Zn2InPt
1.0
-3.7542 1.6145 -2.7370
0.9412 -1.0371 -4.7149
0.1002 -2.8291 4.0222
In Pt Zn
1 1 2
Cartesian
-1.4064 0.2887 -3.7256
-2.5301 -0.4630 -1.2200
-0.0001 0.0000 -0.0004
-0.1827 -1.7887 -2.2097
```

- SG = No. 119
- energy of formation (eV/atom) = -0.244

=====

KTeAu2 after structural relaxation. Source: Alexandria via LeMat-Bulk, functional PBE-GGA.

The structure in POSCAR format:
```
KTeAu2
1.0
-0.1972 5.9705 -5.6528
-3.4054 3.2599 -6.7391
-3.4897 4.5666 -1.0881
Au K Te
2 1 1
Cartesian
-3.4895 4.5669 -1.0895
-4.7470 9.2004 -8.9373
-3.5035 6.8997 -6.8690
-2.3882 4.5951 -4.4125
```

- SG = No. 8
- raw formation energy (eV/f.u.) = -1.1